A plane-wave DFT calculation with PBE+U was carried out for an optimized crystal structure of LiPuNi2O4.

Geometry as POSCAR:
```
LiPuNi2O4
1.0
-1.9792 1.5406 -1.8150
2.5492 -2.2752 -4.7110
-4.6362 -2.7769 2.6984
Pu O Li Ni
1 4 1 2
direct
0.5000 0.5000 0.0000
0.5000 0.3300 0.2513
0.0000 0.8098 0.2317
0.5000 0.6700 0.7487
0.0000 0.1902 0.7683
0.0000 0.0000 0.0000
0.5000 0.0000 0.5000
0.0000 0.5000 0.5000
```

Output
Its volume is 11.64 A^3/atom. The value obtained for the electronic total energy is -53.780 eV per formula unit. For the density of states at the Fermi level, the calculation gives 0.641 states/eV per atom. The calculation puts the density at 7.71 g/cm3.